Entry from Alexandria via LeMat-Bulk: RbYSN2 after structural relaxation (GGA-PBE).

Lattice parameters (Å, degrees): 4.772 4.772 5.384 90.00 90.00 90.00
Last column: magnetic moment on the atom in μB.
Sites, in units of the cell vectors:
Y1 0.000 0.000 0.000  -0.03
S1 0.000 0.000 0.500  0.28
Rb1 0.500 0.500 0.500  0.01
N1 0.000 0.500 0.000  1.16
N2 0.500 0.000 0.000  1.16

Calculated values
Uncorrected energy = -5.500 eV per atom
Theoretical density = 3.2 g/cm3
Volume = 122.6 Å³ per cell
SG = P4/mmm (123)
Formation energy from raw total energies = 0.71 eV per formula unit